Entry 1:
A plane-wave DFT calculation with PBE-GGA was carried out for a geometry-optimized ZrCu2Ag structure.

Cell and atoms, written as POSCAR:
```
ZrCu2Ag
1.0
3.4252 0.0000 0.0000
0.0000 2.9749 -0.0347
0.0000 3.0616 6.3435
Cu Ag Zr
2 1 1
Direct
0.0000 0.4809 0.5186
0.0000 0.0191 0.9814
0.5000 0.7500 0.7500
0.5000 0.2500 0.2500
```

Computed properties:
space-group type	P2/m
uncorrected energy	-4.916	eV/atom
energy above the lowest structure with this stoichiometry	52	meV/atom
ΔH_f (0 K)	-0.018	eV per atom

***

Entry 2:
A plane-wave DFT calculation with PBE-GGA was carried out for a geometry-optimized La5Tb6Tm2 structure.

Cell and atoms, written as POSCAR:
```
La5Tb6Tm2
1.0
3.6356 0.0000 0.0000
0.0000 11.7023 0.0000
0.0000 0.0000 20.8152
Tb Tm La
12 4 10
Direct
0.0000 0.5637 0.4186
0.5000 0.6759 0.8592
0.0000 0.9201 0.6315
0.5000 0.1759 0.6408
0.5000 0.3241 0.1408
0.5000 0.8241 0.3592
0.0000 0.4201 0.8685
0.0000 0.4363 0.5814
0.0000 0.5799 0.1315
0.0000 0.0637 0.0814
0.0000 0.9363 0.9186
0.0000 0.0799 0.3685
0.0000 0.6745 0.7109
0.0000 0.8255 0.2109
0.0000 0.3255 0.2891
0.0000 0.1745 0.7891
0.5000 0.6986 0.5513
0.5000 0.1986 0.9487
0.5000 0.5000 0.0000
0.5000 0.5794 0.2719
0.5000 0.8014 0.0513
0.5000 0.9206 0.7719
0.5000 0.4206 0.7281
0.5000 0.3014 0.4487
0.5000 0.0794 0.2281
0.5000 0.0000 0.5000
```

Computed properties:
space-group type	Pbam
uncorrected energy	-4.627	eV/atom
ΔH_f (0 K)	0.093	eV per atom

***

Entry 3:
A plane-wave DFT calculation with PBE-GGA was carried out for a geometry-optimized K2YSbS4 structure.

Cell and atoms, written as POSCAR:
```
K2YSbS4
1.0
-4.0619 -0.0528 0.0383
0.0297 -5.5115 -4.4467
0.1043 -2.8075 7.1839
S K Sb Y
4 2 1 1
Direct
0.0000 0.7324 0.2018
0.5000 0.7628 0.7965
0.5000 0.2372 0.2035
0.0000 0.2676 0.7982
0.5000 0.0000 0.5000
0.0000 0.5000 0.5000
0.0000 0.0000 0.0000
0.5000 0.5000 0.0000
```

Computed properties:
space-group type	P2/m
uncorrected energy	-4.957	eV/atom
formation energy without anion corrections	-125.0	kJ/mol of atoms

***

Which calculated density belongs to each record? In order, 8.3, 7.4, 3.3 g/cm³.
Which density of states at the Fermi level belongs to each record? In order, 0.6481, 1.2560, 0.0000 states/eV/atom.